{
  "formula": "Zn2AgPt",
  "functional": "GGA-PBE",
  "state": "relaxed",
  "spacegroup": "Pmm2 (25)",
  "dos_at_fermi_per_ev_atom": 0.396,
  "e_tot_ev_per_cell": -12.36,
  "ef_ev_per_atom": -0.23,
  "cell": [[2.840, 0.000, 0.000], [0.000, 4.027, 0.000], [0.000, 0.000, 5.469]],
  "species": ["Zn", "Zn", "Ag", "Pt"],
  "fractional_positions": [[0.000, 0.000, 0.000], [0.500, 0.500, 0.289], [0.000, 0.000, 0.505], [0.500, 0.500, 0.810]]
}